Compound: LuPuTh
Source: the Alexandria database
Functional: GGA-PBE
Structure: relaxed

Results
For the distance to the lowest polymorph of the same formula, the calculation gives 0 meV/atom. As for the symmetry: P3m1, No. 156. As for the density of states at the Fermi level: 8.94 states/eV per cell. For the total magnetization, the calculation gives 1.95 μB per atom. The calculation puts the formation energy from the elements at 119.9 meV per atom.

The structure in POSCAR format:
```
LuPuTh
1.0
3.502 0.000 0.000
-1.751 3.033 0.000
0.000 0.000 8.358
Lu Pu Th
1 1 1
Direct
0.000 0.000 0.000 Lu
0.667 0.333 0.337 Pu
0.333 0.667 0.659 Th
```